Record 1
## LaPb2NCl (PBE)

Data for a geometry-optimized LaPb2NCl structure.

- V: 26.75 A^3/atom
- Magnetization: 0.000 μB per cell
- E: -19.05 eV per cell

Cell lengths 5.6010, 5.6010, 4.2629 Å; angles 90.00, 90.00, 90.00 degrees
Space group P4/mmm (No. 123)
Asymmetric unit:
La 0.0000 0.0000 0.0000 x1
Pb 0.0000 0.5000 0.5000 x2
N 0.5000 0.5000 0.0000 x1
Cl 0.5000 0.5000 0.5000 x1



Record 2
## Er3Mn2Si4 (PBE)

Data for a geometry-optimized Er3Mn2Si4 structure.

- V: 17.72 A^3/atom
- Magnetization: 0.797 μB per cell
- E: -118.69 eV per cell

Cell lengths 10.3906, 4.0993, 7.8846 Å; angles 90.00, 108.23, 90.00 degrees
Space group C2/m (No. 12)
Asymmetric unit:
Er 0.0000 0.0000 0.0000 x2
Er 0.1231 0.5000 0.6925 x4
Mn 0.1833 0.5000 0.3548 x4
Si 0.1053 0.0000 0.4090 x4
Si 0.2161 0.5000 0.0789 x4



Record 3
## Ba6AgHg5 (PBE)

Data for a geometry-optimized Ba6AgHg5 structure.

- V: 36.83 A^3/atom
- E_form: -0.47 eV/atom
- Magnetization: 0.000 μB per cell

Cell lengths 5.9545, 8.3140, 17.8544 Å; angles 90.00, 90.00, 90.00 degrees
Space group Immm (No. 71)
Asymmetric unit:
Ba 0.0000 0.2484 0.0000 x4
Ba 0.0000 0.2512 0.3346 x8
Ag 0.0000 0.5000 0.5000 x2
Hg 0.0000 0.0000 0.1696 x4
Hg 0.0000 0.0000 0.5000 x2
Hg 0.0000 0.5000 0.1664 x4